1.
A relaxed structure of La5CePr2, computed with GGA-PBE.

abc: 10.2878 6.7108 11.1715
angles: 118.61 117.42 90.00
Positions (direct):
La1 0.3122 0.9630 0.8114
La2 0.8752 0.6062 0.5843
La3 0.7091 0.1062 0.5843
La4 0.9366 0.7500 0.0000
La5 0.0634 0.2500 0.0000
La6 0.1248 0.3938 0.4157
La7 0.4993 0.4630 0.8114
La8 0.6878 0.0370 0.1886
La9 0.2909 0.8938 0.4157
La10 0.5007 0.5370 0.1886
Ce1 0.5000 0.5000 0.5000
Ce2 0.0000 0.0000 0.5000
Pr1 0.3468 0.0361 0.1744
Pr2 0.1724 0.4639 0.8256
Pr3 0.6532 0.9639 0.8256
Pr4 0.8276 0.5361 0.1744

As for the crystal system: monoclinic. The calculation puts the final energy at -4.876 eV/atom.

2.
A relaxed structure of Na3Cu2H6, computed with GGA-PBE.

abc: 3.4017 3.4017 10.2145
angles: 99.59 99.59 90.00
Positions (direct):
H1 0.3093 0.3093 0.6185
H2 0.6907 0.6907 0.3815
H3 0.5870 0.0870 0.1740
H4 0.4130 0.9130 0.8260
H5 0.0870 0.5870 0.1740
H6 0.9130 0.4130 0.8260
Na1 0.0000 0.0000 0.0000
Na2 0.8138 0.8138 0.6275
Na3 0.1862 0.1862 0.3725
Cu1 0.3960 0.3960 0.7920
Cu2 0.6040 0.6040 0.2080

As for the crystal system: tetragonal. The calculation puts the final energy at -3.039 eV/atom.

3.
A relaxed structure of Tl2Ge2As, computed with GGA-PBE.

abc: 6.9117 6.9117 5.4133
angles: 90.00 90.00 90.00
Positions (direct):
Tl1 0.6817 0.8183 0.5000
Tl2 0.8183 0.3183 0.5000
Tl3 0.3183 0.1817 0.5000
Tl4 0.1817 0.6817 0.5000
As1 0.0000 0.0000 0.0000
As2 0.5000 0.5000 0.0000
Ge1 0.8660 0.6340 0.0000
Ge2 0.1340 0.3660 0.0000
Ge3 0.3660 0.8660 0.0000
Ge4 0.6340 0.1340 0.0000

As for the crystal system: tetragonal. The calculation puts the final energy at -3.535 eV/atom.

4.
A relaxed structure of GdTlHgBi, computed with GGA-PBE.

abc: 5.4928 5.4928 5.4928
angles: 60.00 60.00 60.00
Positions (direct):
Hg1 0.7500 0.7500 0.7500
Gd1 0.5000 0.5000 0.5000
Tl1 0.0000 0.0000 0.0000
Bi1 0.2500 0.2500 0.2500

As for the crystal system: cubic. The calculation puts the final energy at -5.446 eV/atom.

5.
A relaxed structure of Er5TeSe4, computed with GGA-PBE.

abc: 4.0992 4.0992 16.8591
angles: 83.02 83.02 60.00
Positions (direct):
Se1 0.6989 0.6989 0.9033
Se2 0.3011 0.3011 0.0967
Se3 0.9035 0.9035 0.2895
Se4 0.0965 0.0965 0.7105
Er1 0.7938 0.7938 0.6186
Er2 0.0000 0.0000 0.0000
Er3 0.3985 0.3985 0.8046
Er4 0.2062 0.2062 0.3814
Er5 0.6015 0.6015 0.1954
Te1 0.5000 0.5000 0.5000

As for the crystal system: trigonal. The calculation puts the final energy at -5.583 eV/atom. As for the uncorrected formation energy: -1594 meV per atom. The energy above the most stable polymorph in this dataset comes out at 0 meV per atom.

6.
A relaxed structure of Zn2HgPb, computed with GGA-PBE.

abc: 4.6882 4.6882 6.0373
angles: 78.84 78.84 44.25
Positions (direct):
Zn1 0.4929 0.4929 0.5478
Zn2 0.0071 0.0071 0.9522
Hg1 0.7500 0.7500 0.7500
Pb1 0.2500 0.2500 0.2500

As for the crystal system: monoclinic. The calculation puts the final energy at -1.506 eV/atom. The energy above the most stable polymorph in this dataset comes out at 25 meV per atom.

7.
A relaxed structure of Th6SiGe2S3, computed with GGA-PBE.

abc: 4.2189 8.2808 9.2802
angles: 101.09 103.14 90.00
Positions (direct):
Th1 0.3335 0.9222 0.6669
Th2 0.6665 0.0778 0.3331
Th3 0.9983 0.2497 0.9966
Th4 0.6650 0.5880 0.3301
Th5 0.0017 0.7503 0.0034
Th6 0.3350 0.4120 0.6699
S1 0.5000 0.5000 0.0000
S2 0.1675 0.8335 0.3350
S3 0.8325 0.1665 0.6650
Ge1 0.1668 0.3337 0.3335
Ge2 0.8332 0.6663 0.6665
Si1 0.5000 0.0000 0.0000

As for the crystal system: monoclinic. The calculation puts the final energy at -7.271 eV/atom. As for the uncorrected formation energy: -1308 meV per atom.

8.
A relaxed structure of CoIr3Pb, computed with GGA-PBE.

abc: 4.5505 4.5505 4.5505
angles: 90.00 90.00 90.00
Positions (direct):
Ir1 0.0000 0.0000 0.5000
Ir2 0.0000 0.5000 0.0000
Ir3 0.5000 0.0000 0.0000
Co1 0.0000 0.0000 0.0000
Pb1 0.5000 0.5000 0.5000

As for the crystal system: cubic. The calculation puts the final energy at -6.311 eV/atom. The energy above the most stable polymorph in this dataset comes out at 0 meV per atom.

9.
A relaxed structure of LiPm5Ag4, computed with GGA-PBE.

abc: 3.7280 3.7280 18.8370
angles: 90.00 90.00 90.00
Positions (direct):
Ag1 0.0000 0.0000 0.8007
Ag2 0.0000 0.0000 0.5994
Ag3 0.0000 0.0000 0.1993
Ag4 0.0000 0.0000 0.4006
Pm1 0.5000 0.5000 0.1041
Pm2 0.5000 0.5000 0.8959
Pm3 0.5000 0.5000 0.6991
Pm4 0.5000 0.5000 0.5000
Pm5 0.5000 0.5000 0.3009
Li1 0.0000 0.0000 0.0000

As for the crystal system: tetragonal. The calculation puts the final energy at -3.899 eV/atom.

10.
A relaxed structure of CsGa2Au, computed with GGA-PBE.

abc: 6.2661 6.2661 8.7990
angles: 69.14 69.14 90.00
Positions (direct):
Ga1 0.3750 0.1221 0.7500
Ga2 0.8779 0.1250 0.2500
Ga3 0.8750 0.1279 0.7500
Ga4 0.8721 0.6250 0.2500
Au1 0.7500 0.2500 0.5000
Au2 0.0000 0.0000 0.0000
Cs1 0.5000 0.5000 0.0000
Cs2 0.2500 0.7500 0.5000

As for the crystal system: tetragonal. The calculation puts the final energy at -2.620 eV/atom.

11.
A relaxed structure of DyEr2P, computed with GGA-PBE.

abc: 3.6969 3.6969 10.2927
angles: 79.65 79.65 60.00
Positions (direct):
P1 0.5000 0.5000 0.5000
Dy1 0.0000 0.0000 0.0000
Er1 0.1131 0.1131 0.6606
Er2 0.8869 0.8869 0.3394

As for the crystal system: trigonal. The calculation puts the final energy at -5.275 eV/atom.

12.
A relaxed structure of TlSn2W2, computed with GGA-PBE.

abc: 8.7121 8.7121 2.9814
angles: 90.00 90.00 90.00
Positions (direct):
W1 0.5991 0.9009 0.5000
W2 0.4009 0.0991 0.5000
W3 0.9009 0.4009 0.5000
W4 0.0991 0.5991 0.5000
Tl1 0.0000 0.0000 0.0000
Tl2 0.5000 0.5000 0.0000
Sn1 0.8193 0.6807 0.0000
Sn2 0.6807 0.1807 0.0000
Sn3 0.3193 0.8193 0.0000
Sn4 0.1807 0.3193 0.0000

As for the crystal system: tetragonal. The calculation puts the final energy at -6.543 eV/atom. The energy above the most stable polymorph in this dataset comes out at 178 meV per atom.